# 1
VASP calculation (PBE) on a relaxed structure of Dy2MgOs2.

Cell lengths 5.509, 5.578, 8.325 Å; angles 103.89, 90.00, 119.60 degrees
Positions (direct):
Dy 0.199 0.701 0.351
Os 0.287 0.279 0.508
Dy 0.498 0.299 0.149
Dy 0.502 0.701 0.851
Mg 0.147 0.000 0.750
Mg 0.853 0.000 0.250
Os 0.713 0.721 0.492
Os 0.992 0.279 0.008
Dy 0.801 0.299 0.649
Os 0.008 0.721 0.992

Calculated values
E ... -6.792 eV/atom
Symmetry ... C2/c (15)
DFT formation energy ... -0.14 eV per atom


# 2
VASP calculation (PBE) on a relaxed structure of Dy2Mg2Os.

Cell lengths 3.414, 3.414, 10.567 Å; angles 99.30, 99.30, 90.00 degrees
Positions (direct):
Mg 0.797 0.797 0.594
Mg 0.203 0.203 0.406
Dy 0.581 0.581 0.161
Dy 0.419 0.419 0.839
Os 0.000 0.000 0.000

Calculated values
E ... -4.908 eV/atom
Symmetry ... I4/mmm (139)
DFT formation energy ... -0.18 eV per atom


# 3
VASP calculation (PBE) on a relaxed structure of DyPuMgOs.

Cell lengths 4.979, 4.979, 4.979 Å; angles 60.00, 60.00, 60.00 degrees
Positions (direct):
Mg 0.000 0.000 0.000
Dy 0.250 0.250 0.250
Os 0.500 0.500 0.500
Pu 0.750 0.750 0.750

Calculated values
E ... -7.919 eV/atom
Symmetry ... F-43m (216)
DFT formation energy ... 0.02 eV per atom


# 4
VASP calculation (PBE) on a relaxed structure of DyMgScOs.

Cell lengths 4.859, 4.859, 4.859 Å; angles 60.00, 60.00, 60.00 degrees
Positions (direct):
Sc 0.000 0.000 0.000
Dy 0.500 0.500 0.500
Mg 0.750 0.750 0.750
Os 0.250 0.250 0.250

Calculated values
E ... -6.124 eV/atom
Symmetry ... F-43m (216)
DFT formation energy ... -0.18 eV per atom